Entry 1:
Compound: ErReB4
Source: the Open Quantum Materials Database
Functional: GGA-PBE
Structure: relaxed

Summary:
ΔE to the lowest computed polymorph	281	meV per atom

Lattice parameters (Å, degrees): 4.672 4.672 4.672 140.73 110.11 83.22
Atoms (fractional coordinates):
Er  0.000  0.000  0.000
Re  0.500  0.500  0.000
B  0.086  0.750  0.336
B  0.414  0.750  0.664
B  0.586  0.250  0.336
B  0.914  0.250  0.664



Entry 2:
Compound: ErReB4
Source: the Open Quantum Materials Database
Functional: GGA-PBE
Structure: relaxed

Summary:
ΔE to the lowest computed polymorph	297	meV per atom

Lattice parameters (Å, degrees): 3.130 3.130 6.963 90.00 90.00 120.00
Atoms (fractional coordinates):
Er  0.000  0.000  0.000
Re  0.000  0.000  0.500
B  0.333  0.667  0.272
B  0.333  0.667  0.728
B  0.667  0.333  0.272
B  0.667  0.333  0.728



Entry 3:
Compound: Er4SnB2S
Source: the Open Quantum Materials Database
Functional: GGA-PBE
Structure: relaxed

Lattice parameters (Å, degrees): 3.662 3.662 14.875 90.00 90.00 120.00
Atoms (fractional coordinates):
Er  0.000  0.000  0.123
Er  0.000  0.000  0.877
Er  0.333  0.667  0.327
Er  0.333  0.667  0.673
Sn  0.000  0.000  0.500
B  0.667  0.333  0.226
B  0.667  0.333  0.774
S  0.333  0.667  0.000



Entry 4:
Compound: Er4TlB2S
Source: the Open Quantum Materials Database
Functional: GGA-PBE
Structure: relaxed

Lattice parameters (Å, degrees): 3.664 3.664 15.066 90.00 90.00 120.00
Atoms (fractional coordinates):
Er  0.000  0.000  0.122
Er  0.000  0.000  0.878
Er  0.333  0.667  0.322
Er  0.333  0.667  0.678
Tl  0.000  0.000  0.500
B  0.667  0.333  0.224
B  0.667  0.333  0.776
S  0.333  0.667  0.000



Entry 5:
Compound: ErBSb
Source: the Open Quantum Materials Database
Functional: GGA-PBE
Structure: relaxed

Summary:
ΔE to the lowest computed polymorph	420	meV per atom

Lattice parameters (Å, degrees): 4.719 4.719 4.719 60.00 60.00 60.00
Atoms (fractional coordinates):
Er  0.000  0.000  0.000
B  0.750  0.750  0.750
Sb  0.250  0.250  0.250



Entry 6:
Compound: ErBSb
Source: the Open Quantum Materials Database
Functional: GGA-PBE
Structure: relaxed

Summary:
ΔE to the lowest computed polymorph	0	meV per atom

Lattice parameters (Å, degrees): 4.447 4.447 4.447 60.00 60.00 60.00
Atoms (fractional coordinates):
Er  0.000  0.000  0.000
B  0.250  0.250  0.250
Sb  0.500  0.500  0.500



Entry 7:
Compound: ErScB
Source: the Open Quantum Materials Database
Functional: GGA-PBE
Structure: relaxed

Summary:
ΔE to the lowest computed polymorph	0	meV per atom

Lattice parameters (Å, degrees): 4.347 4.347 4.347 60.00 60.00 60.00
Atoms (fractional coordinates):
Er  0.000  0.000  0.000
Sc  0.500  0.500  0.500
B  0.250  0.250  0.250



Entry 8:
Compound: ErSnB
Source: the Open Quantum Materials Database
Functional: GGA-PBE
Structure: relaxed

Lattice parameters (Å, degrees): 4.351 4.351 4.351 60.00 60.00 60.00
Atoms (fractional coordinates):
Er  0.000  0.000  0.000
Sn  0.500  0.500  0.500
B  0.250  0.250  0.250



Entry 9:
Compound: ErSnB4
Source: the Open Quantum Materials Database
Functional: GGA-PBE
Structure: relaxed

Summary:
ΔE to the lowest computed polymorph	83	meV per atom

Lattice parameters (Å, degrees): 3.217 3.217 8.125 90.00 90.00 120.00
Atoms (fractional coordinates):
Er  0.000  0.000  0.000
Sn  0.000  0.000  0.500
B  0.333  0.667  0.230
B  0.333  0.667  0.770
B  0.667  0.333  0.230
B  0.667  0.333  0.770



Entry 10:
Compound: ErSnB4
Source: the Open Quantum Materials Database
Functional: GGA-PBE
Structure: relaxed

Summary:
ΔE to the lowest computed polymorph	0	meV per atom

Lattice parameters (Å, degrees): 5.151 5.151 5.151 143.80 117.89 74.06
Atoms (fractional coordinates):
Er  0.000  0.000  0.000
Sn  0.500  0.500  0.000
B  0.068  0.740  0.328
B  0.412  0.740  0.672
B  0.588  0.260  0.328
B  0.932  0.260  0.672



Entry 11:
Compound: Er4TlSnB2
Source: the Open Quantum Materials Database
Functional: GGA-PBE
Structure: relaxed

Lattice parameters (Å, degrees): 3.612 3.612 16.540 90.00 90.00 120.00
Atoms (fractional coordinates):
Er  0.000  0.000  0.155
Er  0.000  0.000  0.845
Er  0.333  0.667  0.339
Er  0.333  0.667  0.661
Tl  0.000  0.000  0.500
Sn  0.333  0.667  0.000
B  0.667  0.333  0.247
B  0.667  0.333  0.753



Entry 12:
Compound: ErTm3Sn2B2
Source: the Open Quantum Materials Database
Functional: GGA-PBE
Structure: relaxed

Lattice parameters (Å, degrees): 3.607 3.607 16.260 90.00 90.00 120.00
Atoms (fractional coordinates):
Er  0.000  0.000  0.000
Tm  0.000  0.000  0.684
Tm  0.667  0.333  0.185
Tm  0.667  0.333  0.500
Sn  0.000  0.000  0.343
Sn  0.667  0.333  0.842
B  0.333  0.667  0.093
B  0.333  0.667  0.592



Entry 13:
Compound: ErTmSnB
Source: the Open Quantum Materials Database
Functional: GGA-PBE
Structure: relaxed

Lattice parameters (Å, degrees): 3.611 3.611 16.287 90.00 90.00 120.00
Atoms (fractional coordinates):
Er  0.000  0.000  0.158
Er  0.000  0.000  0.842
Tm  0.667  0.333  0.343
Tm  0.667  0.333  0.657
Sn  0.000  0.000  0.500
Sn  0.667  0.333  0.000
B  0.333  0.667  0.251
B  0.333  0.667  0.749



Entry 14:
Compound: ErTmSnB
Source: the Open Quantum Materials Database
Functional: GGA-PBE
Structure: relaxed

Lattice parameters (Å, degrees): 3.610 3.610 16.300 90.00 90.00 120.00
Atoms (fractional coordinates):
Er  0.333  0.667  0.407
Er  0.667  0.333  0.593
Tm  0.333  0.667  0.092
Tm  0.667  0.333  0.908
Sn  0.333  0.667  0.751
Sn  0.667  0.333  0.249
B  0.000  0.000  0.000
B  0.000  0.000  0.500



Entry 15:
Compound: SrErB4
Source: the Open Quantum Materials Database
Functional: GGA-PBE
Structure: relaxed

Summary:
ΔE to the lowest computed polymorph	0	meV per atom

Lattice parameters (Å, degrees): 3.303 3.303 8.167 90.00 90.00 120.00
Atoms (fractional coordinates):
Sr  0.000  0.000  0.000
Er  0.000  0.000  0.500
B  0.333  0.667  0.273
B  0.333  0.667  0.727
B  0.667  0.333  0.273
B  0.667  0.333  0.727



Entry 16:
Compound: SrErB
Source: the Open Quantum Materials Database
Functional: GGA-PBE
Structure: relaxed

Summary:
ΔE to the lowest computed polymorph	0	meV per atom

Lattice parameters (Å, degrees): 4.717 4.717 4.717 60.00 60.00 60.00
Atoms (fractional coordinates):
Sr  0.000  0.000  0.000
Er  0.500  0.500  0.500
B  0.750  0.750  0.750



Entry 17:
Compound: SrErB4
Source: the Open Quantum Materials Database
Functional: GGA-PBE
Structure: relaxed

Summary:
ΔE to the lowest computed polymorph	102	meV per atom

Lattice parameters (Å, degrees): 5.286 5.286 5.286 144.61 112.02 79.04
Atoms (fractional coordinates):
Sr  0.000  0.000  0.000
Er  0.500  0.500  0.000
B  0.076  0.757  0.320
B  0.437  0.757  0.680
B  0.563  0.243  0.320
B  0.924  0.243  0.680



Entry 18:
Compound: ErTaB
Source: the Open Quantum Materials Database
Functional: GGA-PBE
Structure: relaxed

Summary:
ΔE to the lowest computed polymorph	0	meV per atom

Lattice parameters (Å, degrees): 4.182 4.182 4.182 60.00 60.00 60.00
Atoms (fractional coordinates):
Er  0.000  0.000  0.000
Ta  0.500  0.500  0.500
B  0.250  0.250  0.250



Entry 19:
Compound: ErTaB4
Source: the Open Quantum Materials Database
Functional: GGA-PBE
Structure: relaxed

Lattice parameters (Å, degrees): 3.137 3.137 7.188 90.00 90.00 120.00
Atoms (fractional coordinates):
Er  0.000  0.000  0.000
Ta  0.000  0.000  0.500
B  0.333  0.667  0.269
B  0.333  0.667  0.731
B  0.667  0.333  0.269
B  0.667  0.333  0.731



Entry 20:
Compound: ErTaB
Source: the Open Quantum Materials Database
Functional: GGA-PBE
Structure: relaxed

Summary:
ΔE to the lowest computed polymorph	1719	meV per atom

Lattice parameters (Å, degrees): 4.493 4.493 4.493 60.00 60.00 60.00
Atoms (fractional coordinates):
Er  0.000  0.000  0.000
Ta  0.250  0.250  0.250
B  0.750  0.750  0.750



Entry 21:
Compound: TbErB4
Source: the Open Quantum Materials Database
Functional: GGA-PBE
Structure: relaxed

Summary:
ΔE to the lowest computed polymorph	3	meV per atom

Lattice parameters (Å, degrees): 5.060 5.060 5.060 142.08 111.53 81.03
Atoms (fractional coordinates):
Tb  0.000  0.000  0.000
Er  0.500  0.500  0.000
B  0.084  0.750  0.333
B  0.417  0.750  0.667
B  0.583  0.250  0.333
B  0.916  0.250  0.667



Entry 22:
Compound: TbErB4
Source: the Open Quantum Materials Database
Functional: GGA-PBE
Structure: relaxed

Summary:
ΔE to the lowest computed polymorph	0	meV per atom

Lattice parameters (Å, degrees): 3.288 3.288 7.689 90.00 90.00 120.00
Atoms (fractional coordinates):
Tb  0.000  0.000  0.000
Er  0.000  0.000  0.500
B  0.333  0.667  0.255
B  0.333  0.667  0.745
B  0.667  0.333  0.255
B  0.667  0.333  0.745



Entry 23:
Compound: ErTc2B2
Source: the Open Quantum Materials Database
Functional: GGA-PBE
Structure: relaxed

Lattice parameters (Å, degrees): 5.510 5.510 5.510 141.04 141.04 56.27
Atoms (fractional coordinates):
Er  0.000  0.000  0.000
Tc  0.250  0.750  0.500
Tc  0.750  0.250  0.500
B  0.404  0.404  0.000
B  0.596  0.596  0.000



Entry 24:
Compound: ErTcB
Source: the Open Quantum Materials Database
Functional: GGA-PBE
Structure: relaxed

Summary:
ΔE to the lowest computed polymorph	1522	meV per atom

Lattice parameters (Å, degrees): 4.288 4.288 4.288 60.00 60.00 60.00
Atoms (fractional coordinates):
Er  0.000  0.000  0.000
Tc  0.250  0.250  0.250
B  0.750  0.750  0.750



Entry 25:
Compound: ErTcB
Source: the Open Quantum Materials Database
Functional: GGA-PBE
Structure: relaxed

Summary:
ΔE to the lowest computed polymorph	0	meV per atom

Lattice parameters (Å, degrees): 4.079 4.079 4.079 60.00 60.00 60.00
Atoms (fractional coordinates):
Er  0.000  0.000  0.000
Tc  0.500  0.500  0.500
B  0.250  0.250  0.250



Entry 26:
Compound: Er5BTe4
Source: the Open Quantum Materials Database
Functional: GGA-PBE
Structure: relaxed

Lattice parameters (Å, degrees): 7.341 7.341 7.341 99.53 99.53 131.97
Atoms (fractional coordinates):
Er  0.000  0.000  0.000
Er  0.279  0.620  0.842
Er  0.437  0.279  0.658
Er  0.620  0.779  0.342
Er  0.779  0.437  0.158
B  0.546  0.546  0.000
Te  0.115  0.338  0.396
Te  0.338  0.941  0.223
Te  0.719  0.115  0.777
Te  0.941  0.719  0.604



Entry 27:
Compound: ErBTe
Source: the Open Quantum Materials Database
Functional: GGA-PBE
Structure: relaxed

Summary:
ΔE to the lowest computed polymorph	0	meV per atom

Lattice parameters (Å, degrees): 4.505 4.505 4.505 60.00 60.00 60.00
Atoms (fractional coordinates):
Er  0.000  0.000  0.000
B  0.250  0.250  0.250
Te  0.500  0.500  0.500



Entry 28:
Compound: ErBTe
Source: the Open Quantum Materials Database
Functional: GGA-PBE
Structure: relaxed

Summary:
ΔE to the lowest computed polymorph	414	meV per atom

Lattice parameters (Å, degrees): 4.787 4.787 4.787 60.00 60.00 60.00
Atoms (fractional coordinates):
Er  0.000  0.000  0.000
B  0.500  0.500  0.500
Te  0.750  0.750  0.750



no.,DFT total energy (eV/cell),calculated volume (Å³/cell)
1,-45.61,58.7
2,-45.51,59.1
3,-44.88,172.8
4,-42.61,175.1
5,-13.33,74.3
6,-14.59,62.2
7,-17.69,58.1
8,-14.78,58.3
9,-35.25,72.8
10,-35.75,70.0
11,-39.51,186.9
12,-41.55,183.2
13,-41.62,183.9
14,-41.62,184.0
15,-34.31,77.2
16,-11.52,74.2
17,-33.69,77.4
18,-22.28,51.7
19,-47.79,61.3
20,-17.12,64.1
21,-39.34,72.0
22,-39.36,72.0
23,-40.38,65.6
24,-16.75,55.7
25,-21.32,48.0
26,-53.06,268.7
27,-13.48,64.7
28,-12.24,77.6